# Ag2HgOs

A relaxed structure of Ag2HgOs (GGA-PBE, Alexandria via LeMat-Bulk).

```
4
Lattice="4.885 -1.389 0.000 4.885 1.389 0.000 -0.811 0.000 5.184" Properties=species:S:1:pos:R:3 pbc="T T T"
Ag 0.000 0.000 0.000
Ag 1.792 0.000 4.010
Hg 4.406 0.000 2.526
Os 7.035 0.000 1.385
```

Properties
- E_tot: -14.64 eV for the cell shown
- Space group: Cm (8)

# Al2CuSi5

A relaxed structure of Al2CuSi5 (GGA-PBE, Alexandria via LeMat-Bulk).

```
16
Lattice="5.134 0.000 0.000 0.000 10.701 0.000 0.000 0.000 4.545" Properties=species:S:1:pos:R:3 pbc="T T T"
Al 0.018 1.445 0.000
Al 2.549 6.795 0.000
Al 2.585 3.906 0.000
Al 5.116 9.257 0.000
Cu 0.000 5.351 2.273
Cu 2.567 0.000 2.273
Si 0.000 0.000 2.273
Si 0.012 2.841 2.273
Si 0.018 4.088 0.000
Si 2.549 9.438 0.000
Si 2.555 8.191 2.273
Si 2.567 5.351 2.273
Si 2.579 2.510 2.273
Si 2.585 1.263 0.000
Si 5.116 6.614 0.000
Si 5.122 7.861 2.273
```

Properties
- Space group: Pbam (55)
- Formation energy without anion corrections: 2.0 eV per formula unit

# BaIr2Cl

A relaxed structure of BaIr2Cl (GGA-PBE, Alexandria via LeMat-Bulk).

```
4
Lattice="3.991 0.000 0.000 0.000 6.401 0.000 -0.004 0.000 4.217" Properties=species:S:1:pos:R:3 pbc="T T T"
Ba 0.000 0.000 0.000
Ir 1.431 3.201 3.162
Ir 2.556 3.201 1.055
Cl 1.994 0.000 2.108
```

Properties
- Space group: P2/m (10)
- Formation energy without anion corrections: 0.2 eV per formula unit

# Cr2W

A relaxed structure of Cr2W (GGA-PBE, Alexandria via LeMat-Bulk).

```
6
Lattice="4.410 0.000 0.000 -2.205 3.819 0.000 0.000 0.000 4.834" Properties=species:S:1:pos:R:3 pbc="T T T"
Cr 0.000 0.000 0.000
Cr 0.000 0.000 2.417
Cr 0.000 2.546 1.209
Cr 2.205 1.273 3.626
W 0.000 2.546 3.626
W 2.205 1.273 1.209
```

Properties
- E_tot: -61.69 eV for the cell shown
- Space group: P6_3/mmc (194)

# CePmPu

A relaxed structure of CePmPu (GGA-PBE, Alexandria via LeMat-Bulk).

```
3
Lattice="-1.728 1.728 7.232 1.728 -1.728 7.232 1.728 1.728 -7.232" Properties=species:S:1:pos:R:3 pbc="T T T"
Ce 0.000 0.000 0.000
Pm 0.000 0.000 9.835
Pu 0.000 0.000 5.189
```

Properties
- E_tot: -24.63 eV for the cell shown
- Space group: I4mm (107)

# RbLa3I

A relaxed structure of RbLa3I (GGA-PBE, Alexandria via LeMat-Bulk).

```
5
Lattice="5.882 0.000 0.000 0.000 5.882 0.000 0.000 0.000 5.882" Properties=species:S:1:pos:R:3 pbc="T T T"
Rb 0.000 0.000 0.000
La 0.000 0.000 2.941
La 0.000 2.941 0.000
La 2.941 0.000 0.000
I 2.941 2.941 2.941
```

Properties
- Space group: Pm-3m (221)
- Formation energy without anion corrections: 4.5 eV per formula unit